# NiClF2

A relaxed NiClF2 crystal (PBE+U, Alexandria via LeMat-Bulk).

Summary:
As for the space-group type: No. 225.

Lattice parameters (Å, degrees): 4.201 4.201 4.201 60.00 60.00 60.00
Last column: magnetic moment on the atom in μB.
Element x y z (fractional)
Ni 0.500 0.500 0.500  1.83
F 0.250 0.250 0.250  0.19
F 0.750 0.750 0.750  0.19
Cl 0.000 0.000 0.000  0.60

# NiClF2

A relaxed NiClF2 crystal (PBE+U, Alexandria via LeMat-Bulk).

Summary:
As for the space-group type: No. 59.

Lattice parameters (Å, degrees): 2.816 5.946 8.807 90.00 90.00 118.28
Last column: magnetic moment on the atom in μB.
Element x y z (fractional)
Ni 0.751 0.750 0.750  1.65
Ni 0.249 0.250 0.250  1.65
Cl 0.748 0.751 0.250  -0.01
Cl 0.252 0.249 0.750  -0.01
F 0.251 0.750 0.604  -0.03
F 0.749 0.250 0.396  -0.03
F 0.251 0.750 0.896  -0.03
F 0.749 0.250 0.104  -0.03

# NiCl2F2

A relaxed NiCl2F2 crystal (PBE+U, Alexandria via LeMat-Bulk).

Summary:
As for the space-group type: No. 127.

Lattice parameters (Å, degrees): 5.468 5.468 6.635 90.00 90.00 90.00
Last column: magnetic moment on the atom in μB.
Element x y z (fractional)
Ni 0.000 0.000 0.000  1.84
Ni 0.500 0.500 0.000  1.84
F 0.264 0.764 0.000  0.08
F 0.764 0.736 0.000  0.09
F 0.736 0.236 0.000  0.08
F 0.236 0.264 0.000  0.09
Cl 0.129 0.629 0.500  0.00
Cl 0.629 0.871 0.500  0.00
Cl 0.871 0.371 0.500  0.00
Cl 0.371 0.129 0.500  0.00

# NiCl2F2

A relaxed NiCl2F2 crystal (PBE+U, Alexandria via LeMat-Bulk).

Summary:
As for the space-group type: No. 12.

Lattice parameters (Å, degrees): 3.301 3.301 9.783 80.66 80.66 60.00
Last column: magnetic moment on the atom in μB.
Element x y z (fractional)
Ni 0.000 0.000 0.000  1.84
Cl 0.409 0.409 0.596  0.00
Cl 0.591 0.591 0.404  0.00
F 0.304 0.304 0.092  0.07
F 0.696 0.696 0.908  0.07

Number 1: VASP energy -9.5 eV per formula unit, calculated volume 13.11 A^3/atom. Number 2: VASP energy -13.1 eV per formula unit, calculated volume 16.23 A^3/atom. Number 3: VASP energy -14.6 eV per formula unit, calculated volume 19.83 A^3/atom. Number 4: VASP energy -15.6 eV per formula unit, calculated volume 18.14 A^3/atom.